# 1
# TbCd5Pd6 PBE relaxed
# Space group   No. 10
# Formation energy from the elements   -505 meV/atom
data_TbCd5Pd6
_chemical_formula_sum 'Tb1 Cd5 Pd6'
_symmetry_space_group_name_H-M 'P 1'
_symmetry_Int_Tables_number 1
_cell_length_a 4.730
_cell_length_b 6.545
_cell_length_c 7.191
_cell_angle_alpha 90.00
_cell_angle_beta 101.81
_cell_angle_gamma 90.00
loop_
_symmetry_equiv_pos_as_xyz
'x,y,z'
loop_
_atom_site_label
_atom_site_fract_x
_atom_site_fract_y
_atom_site_fract_z
Tb1 0.000 0.000 0.000
Cd1 0.000 0.500 0.000
Cd2 0.344 0.500 0.669
Cd3 0.347 0.000 0.664
Cd4 0.653 0.000 0.336
Cd5 0.656 0.500 0.331
Pd1 0.155 0.255 0.336
Pd2 0.155 0.745 0.336
Pd3 0.500 0.257 0.000
Pd4 0.500 0.743 0.000
Pd5 0.845 0.255 0.664
Pd6 0.845 0.745 0.664

***

# 2
# KRbHSeBrCl PBE relaxed
# Energy above the lowest structure with this stoichiometry   0.36 eV/f.u.
# Space group   No. 1
data_KRbHSeBrCl
_chemical_formula_sum 'K1 Rb1 H1 Se1 Br1 Cl1'
_symmetry_space_group_name_H-M 'P 1'
_symmetry_Int_Tables_number 1
_cell_length_a 4.748
_cell_length_b 4.962
_cell_length_c 8.673
_cell_angle_alpha 99.33
_cell_angle_beta 94.38
_cell_angle_gamma 91.20
loop_
_symmetry_equiv_pos_as_xyz
'x,y,z'
loop_
_atom_site_label
_atom_site_fract_x
_atom_site_fract_y
_atom_site_fract_z
K1 0.000 0.000 0.000
Rb1 0.522 0.635 0.477
H1 0.695 0.373 0.797
Se1 0.476 0.456 0.911
Br1 0.067 0.170 0.624
Cl1 0.979 0.565 0.212

***

# 3
# TbPtSe PBE relaxed
# Space group   No. 63
# Energy relative to the elements, uncorrected   -3.5 eV per formula unit
data_TbPtSe
_chemical_formula_sum 'Tb4 Pt4 Se4'
_symmetry_space_group_name_H-M 'P 1'
_symmetry_Int_Tables_number 1
_cell_length_a 4.145
_cell_length_b 11.769
_cell_length_c 5.413
_cell_angle_alpha 90.00
_cell_angle_beta 90.00
_cell_angle_gamma 90.00
loop_
_symmetry_equiv_pos_as_xyz
'x,y,z'
loop_
_atom_site_label
_atom_site_fract_x
_atom_site_fract_y
_atom_site_fract_z
Tb1 0.000 0.121 0.250
Tb2 0.000 0.879 0.750
Tb3 0.500 0.379 0.750
Tb4 0.500 0.621 0.250
Pt1 0.000 0.455 0.250
Pt2 0.000 0.545 0.750
Pt3 0.500 0.045 0.750
Pt4 0.500 0.955 0.250
Se1 0.000 0.192 0.750
Se2 0.000 0.808 0.250
Se3 0.500 0.308 0.250
Se4 0.500 0.692 0.750

***

# 4
# Nd2InRh PBE relaxed
# Energy above the lowest structure with this stoichiometry   0.48 eV/f.u.
# Space group   No. 225
# Formation energy from the elements   -437 meV/atom
data_Nd2InRh
_chemical_formula_sum 'Nd8 In4 Rh4'
_symmetry_space_group_name_H-M 'P 1'
_symmetry_Int_Tables_number 1
_cell_length_a 7.441
_cell_length_b 7.441
_cell_length_c 7.441
_cell_angle_alpha 90.00
_cell_angle_beta 90.00
_cell_angle_gamma 90.00
loop_
_symmetry_equiv_pos_as_xyz
'x,y,z'
loop_
_atom_site_label
_atom_site_fract_x
_atom_site_fract_y
_atom_site_fract_z
Nd1 0.250 0.250 0.250
Nd2 0.250 0.250 0.750
Nd3 0.250 0.750 0.250
Nd4 0.250 0.750 0.750
Nd5 0.750 0.250 0.250
Nd6 0.750 0.250 0.750
Nd7 0.750 0.750 0.250
Nd8 0.750 0.750 0.750
In1 0.000 0.000 0.000
In2 0.000 0.500 0.500
In3 0.500 0.000 0.500
In4 0.500 0.500 0.000
Rh1 0.000 0.000 0.500
Rh2 0.000 0.500 0.000
Rh3 0.500 0.000 0.000
Rh4 0.500 0.500 0.500

***

# 5
# ScHgAs2Se PBE relaxed
# Energy above the lowest structure with this stoichiometry   2.60 eV/f.u.
# Space group   No. 123
# Energy relative to the elements, uncorrected   2.9 eV per formula unit
data_ScHgAs2Se
_chemical_formula_sum 'Sc1 Hg1 As2 Se1'
_symmetry_space_group_name_H-M 'P 1'
_symmetry_Int_Tables_number 1
_cell_length_a 5.103
_cell_length_b 5.103
_cell_length_c 5.226
_cell_angle_alpha 90.00
_cell_angle_beta 90.00
_cell_angle_gamma 90.00
loop_
_symmetry_equiv_pos_as_xyz
'x,y,z'
loop_
_atom_site_label
_atom_site_fract_x
_atom_site_fract_y
_atom_site_fract_z
Sc1 0.000 0.000 0.000
Hg1 0.500 0.500 0.500
As1 0.000 0.500 0.500
As2 0.500 0.000 0.500
Se1 0.500 0.500 0.000

***

# 6
# PrSm2Ga PBE relaxed
# Energy above the lowest structure with this stoichiometry   1.13 eV/f.u.
# Space group   No. 160
# Formation energy from the elements   17 meV/atom
data_PrSm2Ga
_chemical_formula_sum 'Pr3 Sm6 Ga3'
_symmetry_space_group_name_H-M 'P 1'
_symmetry_Int_Tables_number 1
_cell_length_a 4.438
_cell_length_b 4.438
_cell_length_c 23.133
_cell_angle_alpha 90.00
_cell_angle_beta 90.00
_cell_angle_gamma 120.00
loop_
_symmetry_equiv_pos_as_xyz
'x,y,z'
loop_
_atom_site_label
_atom_site_fract_x
_atom_site_fract_y
_atom_site_fract_z
Pr1 0.000 0.000 0.000
Pr2 0.333 0.667 0.667
Pr3 0.667 0.333 0.333
Sm1 0.000 0.000 0.563
Sm2 0.000 0.000 0.773
Sm3 0.333 0.667 0.229
Sm4 0.333 0.667 0.440
Sm5 0.667 0.333 0.106
Sm6 0.667 0.333 0.896
Ga1 0.000 0.000 0.168
Ga2 0.333 0.667 0.834
Ga3 0.667 0.333 0.501

***

# 7
# Y2CdN2 PBE relaxed
# Space group   No. 139
# Energy relative to the elements, uncorrected   -4.2 eV per formula unit
data_Y2CdN2
_chemical_formula_sum 'Y4 Cd2 N4'
_symmetry_space_group_name_H-M 'P 1'
_symmetry_Int_Tables_number 1
_cell_length_a 4.243
_cell_length_b 4.243
_cell_length_c 12.074
_cell_angle_alpha 90.00
_cell_angle_beta 90.00
_cell_angle_gamma 90.00
loop_
_symmetry_equiv_pos_as_xyz
'x,y,z'
loop_
_atom_site_label
_atom_site_fract_x
_atom_site_fract_y
_atom_site_fract_z
Y1 0.000 0.000 0.182
Y2 0.000 0.000 0.818
Y3 0.500 0.500 0.318
Y4 0.500 0.500 0.682
Cd1 0.000 0.000 0.500
Cd2 0.500 0.500 0.000
N1 0.000 0.500 0.250
N2 0.000 0.500 0.750
N3 0.500 0.000 0.250
N4 0.500 0.000 0.750

***

# 8
# Nb2GaP PBE relaxed
# Energy above the lowest structure with this stoichiometry   1.16 eV/f.u.
# Space group   No. 225
# Formation energy from the elements   -221 meV/atom
data_Nb2GaP
_chemical_formula_sum 'Nb8 Ga4 P4'
_symmetry_space_group_name_H-M 'P 1'
_symmetry_Int_Tables_number 1
_cell_length_a 6.340
_cell_length_b 6.340
_cell_length_c 6.340
_cell_angle_alpha 90.00
_cell_angle_beta 90.00
_cell_angle_gamma 90.00
loop_
_symmetry_equiv_pos_as_xyz
'x,y,z'
loop_
_atom_site_label
_atom_site_fract_x
_atom_site_fract_y
_atom_site_fract_z
Nb1 0.250 0.250 0.250
Nb2 0.250 0.250 0.750
Nb3 0.250 0.750 0.250
Nb4 0.250 0.750 0.750
Nb5 0.750 0.250 0.250
Nb6 0.750 0.250 0.750
Nb7 0.750 0.750 0.250
Nb8 0.750 0.750 0.750
Ga1 0.000 0.000 0.000
Ga2 0.000 0.500 0.500
Ga3 0.500 0.000 0.500
Ga4 0.500 0.500 0.000
P1 0.000 0.000 0.500
P2 0.000 0.500 0.000
P3 0.500 0.000 0.000
P4 0.500 0.500 0.500

***

Table of DFT total energy (eV/atom), in record order: -3.868; -3.077; -5.888; -5.343; -3.310; -4.294; -6.932; -7.365
Table of calculated volume (Å³ per atom), in record order: 18.16; 33.48; 22.00; 25.75; 27.22; 32.88; 21.73; 15.93